DFT (GGA-PBE) results for ErTeAuO after structural relaxation.

Cell: 3.9905 3.9905 10.0800 Å, 90.00 90.00 90.00°
Fractional coordinates of all 8 atoms:
Er 0.0000 0.0000 0.0000
Er 0.5000 0.5000 0.2090
Te 0.0000 0.0000 0.3883
Te 0.5000 0.5000 0.8213
Au 0.0000 0.5000 0.6051
Au 0.5000 0.0000 0.6051
O 0.0000 0.5000 0.1045
O 0.5000 0.0000 0.1045

- Spin magnetization: 0.0 μB per formula unit
- E above lowest polymorph: 0.91 kcal/mol of atoms
- V: 161 Å³ per cell

=====

DFT (GGA-PBE) results for DyY2Mg3CdIn2 after structural relaxation.

Cell: 4.6040 7.5448 7.5448 Å, 119.98 90.00 90.00°
Fractional coordinates of all 9 atoms:
Dy 0.0000 0.0000 0.0000
Y 0.0000 0.1463 0.5732
Y 0.0000 0.5732 0.1463
Mg 0.5000 0.3324 0.3324
Mg 0.5000 0.5732 0.8138
Mg 0.5000 0.8138 0.5732
Cd 0.0000 0.5735 0.5735
In 0.5000 0.2395 0.9067
In 0.5000 0.9067 0.2395

- Uncorrected energy: -3.555 eV per atom
- Spin magnetization: 0.0 μB per formula unit
- V: 227 Å³ per cell

=====

DFT (GGA-PBE) results for HfNbFe after structural relaxation.

Cell: 4.2697 4.2697 4.2697 Å, 60.00 60.00 60.00°
Fractional coordinates of all 3 atoms:
Hf 0.0000 0.0000 0.0000
Nb 0.5000 0.5000 0.5000
Fe 0.2500 0.2500 0.2500

- Spin magnetization: 0.0 μB per formula unit
- E above lowest polymorph: 0.00 kcal/mol of atoms
- V: 55 Å³ per cell

=====

DFT (GGA-PBE) results for ReSeS after structural relaxation.

Cell: 6.5173 6.6522 6.8717 Å, 91.75 104.17 118.91°
Fractional coordinates of all 12 atoms:
Re 0.0126 0.2096 0.0024
Re 0.4393 0.1884 0.0086
Re 0.5607 0.8116 0.9914
Re 0.9874 0.7904 0.9976
Se 0.2503 0.1187 0.2934
Se 0.2536 0.6351 0.2020
Se 0.7464 0.3649 0.7980
Se 0.7497 0.8813 0.7066
S 0.2322 0.8474 0.7677
S 0.2801 0.3931 0.8013
S 0.7199 0.6069 0.1987
S 0.7678 0.1526 0.2323

- Uncorrected energy: -7.150 eV per atom
- Spin magnetization: 0.0 μB per formula unit
- V: 249 Å³ per cell

=====

DFT (GGA-PBE) results for TbDyAg2Pb2 after structural relaxation.

Cell: 4.8125 4.8125 7.4519 Å, 90.00 90.00 120.00°
Fractional coordinates of all 6 atoms:
Tb 0.0000 0.0000 0.0000
Dy 0.0000 0.0000 0.5003
Ag 0.3333 0.6667 0.1869
Ag 0.6667 0.3333 0.6852
Pb 0.3333 0.6667 0.7791
Pb 0.6667 0.3333 0.2802

- Uncorrected energy: -4.130 eV per atom
- Spin magnetization: 0.0 μB per formula unit
- V: 149 Å³ per cell

=====

DFT (GGA-PBE) results for Tb2DySn3Ir2Pd after structural relaxation.

Cell: 3.9180 7.5603 7.5603 Å, 119.95 90.00 90.00°
Fractional coordinates of all 9 atoms:
Tb 0.0000 0.2051 0.7949
Tb 0.0000 0.7949 0.2051
Dy 0.0000 0.6153 0.6153
Sn 0.5000 0.2054 0.4689
Sn 0.5000 0.4689 0.2054
Sn 0.5000 0.9414 0.9414
Ir 0.5000 0.5388 0.8712
Ir 0.5000 0.8712 0.5388
Pd 0.0000 0.2058 0.2058

- Uncorrected energy: -6.283 eV per atom
- Spin magnetization: 0.0 μB per formula unit
- V: 194 Å³ per cell

=====

DFT (GGA-PBE) results for CuTcAsPt after structural relaxation.

Cell: 4.3645 4.3645 4.3645 Å, 60.00 60.00 60.00°
Fractional coordinates of all 4 atoms:
Cu 0.0000 0.0000 0.0000
Tc 0.5000 0.5000 0.5000
As 0.7500 0.7500 0.7500
Pt 0.2500 0.2500 0.2500

- Spin magnetization: 0.0 μB per formula unit
- E above lowest polymorph: 0.00 kcal/mol of atoms
- V: 59 Å³ per cell

=====

DFT (GGA-PBE) results for HfBeInCo after structural relaxation.

Cell: 4.3905 4.3905 4.3905 Å, 60.00 60.00 60.00°
Fractional coordinates of all 4 atoms:
Hf 0.0000 0.0000 0.0000
Be 0.7500 0.7500 0.7500
In 0.5000 0.5000 0.5000
Co 0.2500 0.2500 0.2500

- Spin magnetization: 0.0 μB per formula unit
- E above lowest polymorph: 0.00 kcal/mol of atoms
- V: 60 Å³ per cell